# Tl2CoBr, optimized geometry, DFT PBE
data_Tl2CoBr
_chemical_formula_sum 'Tl4 Co2 Br2'
_cell_length_a 10.7623
_cell_length_b 3.3986
_cell_length_c 6.1336
_cell_angle_alpha 90.00
_cell_angle_beta 115.63
_cell_angle_gamma 90.00
_symmetry_space_group_name_H-M 'C 1 m 1'
_symmetry_Int_Tables_number 8
loop_
_symmetry_equiv_pos_as_xyz
'x,y,z'
'x,-y,z'
'x+1/2,y+1/2,z'
'x+1/2,-y+1/2,z'
loop_
_atom_site_label
_atom_site_type_symbol
_atom_site_fract_x
_atom_site_fract_y
_atom_site_fract_z
Tl1 Tl 0.0000 0.0000 0.0000
Tl2 Tl 0.1606 0.0000 0.6269
Co1 Co 0.4245 0.0000 0.5945
Br1 Br 0.3086 0.5000 0.2855
# Crystal system: monoclinic
# Mass density: 9.0 Mg/m³
# Formation energy (no corrections): 0.1710 eV per atom

---

# TbThBiTe, optimized geometry, DFT PBE
data_TbThBiTe
_chemical_formula_sum 'Tb1 Th1 Bi1 Te1'
_cell_length_a 4.4784
_cell_length_b 4.4784
_cell_length_c 6.3775
_cell_angle_alpha 90.00
_cell_angle_beta 90.00
_cell_angle_gamma 90.00
_symmetry_space_group_name_H-M 'P 4/m m m'
_symmetry_Int_Tables_number 123
_symmetry_space_group_name_Hall '-P 4 2'
loop_
_atom_site_label
_atom_site_type_symbol
_atom_site_fract_x
_atom_site_fract_y
_atom_site_fract_z
Tb1 Tb 0.0000 0.0000 0.0000
Th1 Th 0.5000 0.5000 0.5000
Bi1 Bi 0.5000 0.5000 0.0000
Te1 Te 0.0000 0.0000 0.5000
# Crystal system: tetragonal
# Mass density: 9.4 Mg/m³
# Formation energy (no corrections): -0.9352 eV per atom

---

# Li4AgHg2Pb, optimized geometry, DFT PBE
data_Li4AgHg2Pb
_chemical_formula_sum 'Li12 Ag3 Hg6 Pb3'
_cell_length_a 4.6761
_cell_length_b 4.6761
_cell_length_c 23.4753
_cell_angle_alpha 90.00
_cell_angle_beta 90.00
_cell_angle_gamma 120.00
_symmetry_space_group_name_H-M 'R -3 m'
_symmetry_Int_Tables_number 166
_symmetry_space_group_name_Hall '-R 3 2"'
loop_
_atom_site_label
_atom_site_type_symbol
_atom_site_fract_x
_atom_site_fract_y
_atom_site_fract_z
Li1 Li 0.0000 0.0000 0.1207
Li2 Li 0.0000 0.0000 0.3725
Ag1 Ag 0.0000 0.0000 0.0000
Hg1 Hg 0.0000 0.0000 0.2548
Pb1 Pb 0.0000 0.0000 0.5000
# Calculated formation energy: -299 meV per atom
# Crystal system: trigonal
# Mass density: 8.3 Mg/m³

---

# FeCuS2, optimized geometry, DFT PBE
data_FeCuS2
_chemical_formula_sum 'Fe3 Cu3 S6'
_cell_length_a 3.2441
_cell_length_b 3.2441
_cell_length_c 19.3095
_cell_angle_alpha 90.00
_cell_angle_beta 90.00
_cell_angle_gamma 120.00
_symmetry_space_group_name_H-M 'R 3 m'
_symmetry_Int_Tables_number 160
_symmetry_space_group_name_Hall 'R 3 -2"'
loop_
_atom_site_label
_atom_site_type_symbol
_atom_site_fract_x
_atom_site_fract_y
_atom_site_fract_z
Fe1 Fe 0.0000 0.0000 0.0000
Cu1 Cu 0.0000 0.0000 0.1570
S1 S 0.0000 0.0000 0.2722
S2 S 0.0000 0.0000 0.4164
# Crystal system: trigonal
# Mass density: 5.2 Mg/m³
# Formation energy (no corrections): -0.1001 eV per atom

---

# SmCuPt4, optimized geometry, DFT PBE
data_SmCuPt4
_chemical_formula_sum 'Sm4 Cu4 Pt16'
_cell_length_a 7.5687
_cell_length_b 7.5687
_cell_length_c 7.5687
_cell_angle_alpha 90.00
_cell_angle_beta 90.00
_cell_angle_gamma 90.00
_symmetry_space_group_name_H-M 'F -4 3 m'
_symmetry_Int_Tables_number 216
_symmetry_space_group_name_Hall 'F -4 2 3'
loop_
_atom_site_label
_atom_site_type_symbol
_atom_site_fract_x
_atom_site_fract_y
_atom_site_fract_z
Sm1 Sm 0.0000 0.0000 0.0000
Cu1 Cu 0.2500 0.2500 0.7500
Pt1 Pt 0.1243 0.1243 0.3757
# Calculated formation energy: -626 meV per atom
# Crystal system: cubic
# Mass density: 15.2 Mg/m³

---

# Rb2TbTlS4, optimized geometry, DFT PBE
data_Rb2TbTlS4
_chemical_formula_sum 'Rb8 Tb4 Tl4 S16'
_cell_length_a 11.8726
_cell_length_b 12.3471
_cell_length_c 8.4505
_cell_angle_alpha 90.00
_cell_angle_beta 133.68
_cell_angle_gamma 90.00
_symmetry_space_group_name_H-M 'C 1 2/c 1'
_symmetry_Int_Tables_number 15
loop_
_symmetry_equiv_pos_as_xyz
'x,y,z'
'-x,-y,-z'
'-x,y,-z+1/2'
'x,-y,z+1/2'
'x+1/2,y+1/2,z'
'-x+1/2,-y+1/2,-z'
'-x+1/2,y+1/2,-z+1/2'
'x+1/2,-y+1/2,z+1/2'
loop_
_atom_site_label
_atom_site_type_symbol
_atom_site_fract_x
_atom_site_fract_y
_atom_site_fract_z
Rb1 Rb 0.0000 0.0000 0.0000
Rb2 Rb 0.2500 0.2500 0.0000
Tb1 Tb 0.0000 0.5000 0.0000
Tl1 Tl 0.2500 0.2500 0.5000
S1 S 0.0125 0.2680 0.4757
S2 S 0.2113 0.4897 0.4574
# Crystal system: monoclinic
# Mass density: 4.9 Mg/m³
# Formation energy (no corrections): -1.1137 eV per atom

---

# ZnCu3Ru, optimized geometry, DFT PBE
data_ZnCu3Ru
_chemical_formula_sum 'Zn1 Cu3 Ru1'
_cell_length_a 4.6501
_cell_length_b 4.6501
_cell_length_c 4.6501
_cell_angle_alpha 90.00
_cell_angle_beta 90.00
_cell_angle_gamma 90.00
_symmetry_space_group_name_H-M 'P m -3 m'
_symmetry_Int_Tables_number 221
_symmetry_space_group_name_Hall '-P 4 2 3'
loop_
_atom_site_label
_atom_site_type_symbol
_atom_site_fract_x
_atom_site_fract_y
_atom_site_fract_z
Zn1 Zn 0.0000 0.0000 0.0000
Cu1 Cu 0.0000 0.5000 0.5000
Ru1 Ru 0.5000 0.5000 0.5000
# Calculated formation energy: 1265 meV per atom
# Crystal system: cubic
# Mass density: 5.9 Mg/m³

---

# Pm2CuSe2O2, optimized geometry, DFT PBE
data_Pm2CuSe2O2
_chemical_formula_sum 'Pm2 Cu1 Se2 O2'
_cell_length_a 3.9522
_cell_length_b 3.9522
_cell_length_c 11.5121
_cell_angle_alpha 90.00
_cell_angle_beta 90.00
_cell_angle_gamma 120.00
_symmetry_space_group_name_H-M 'P -3 m 1'
_symmetry_Int_Tables_number 164
_symmetry_space_group_name_Hall '-P 3 2"'
loop_
_atom_site_label
_atom_site_type_symbol
_atom_site_fract_x
_atom_site_fract_y
_atom_site_fract_z
Pm1 Pm 0.3333 0.6667 0.1299
Cu1 Cu 0.0000 0.0000 0.5000
Se1 Se 0.0000 0.0000 0.3070
O1 O 0.3333 0.6667 0.9225
# Crystal system: trigonal
# Mass density: 5.8 Mg/m³
# Formation energy (no corrections): -2.0036 eV per atom